ZrBPb2, optimized geometry, DFT PBE; volume = 22.88 A^3/atom; DFT total energy = -18.517 eV/f.u.; ρ = 9.4 g/cm3
1.0
0.0000 3.5767 3.5767
3.5767 0.0000 3.5767
3.5767 3.5767 0.0000
Zr B Pb
1 1 2
Direct
0.0000 0.0000 0.0000
0.7500 0.7500 0.7500
0.2500 0.2500 0.2500
0.5000 0.5000 0.5000



CsMg3ZnP3, optimized geometry, DFT PBE; volume = 24.48 A^3/atom; DFT total energy = -27.649 eV/f.u.; ρ = 3.1 g/cm3
1.0
4.2316 0.0000 0.0000
0.0000 4.3804 0.0000
0.0000 0.0000 10.5633
Cs Mg Zn P
1 3 1 3
Direct
0.0000 0.0000 0.0000
0.0000 0.5000 0.6483
0.5000 0.0000 0.3496
0.5000 0.0000 0.6585
0.0000 0.5000 0.3424
0.0000 0.0000 0.4996
0.5000 0.5000 0.2280
0.5000 0.5000 0.7768



Dy7C2I12O, optimized geometry, DFT PBE; volume = 36.56 A^3/atom; DFT total energy = -105.808 eV/f.u.; ρ = 5.6 g/cm3
1.0
9.9091 0.0000 0.0000
-4.1809 9.8690 0.0000
-0.8422 -4.1528 16.4485
Dy C I O
14 4 24 2
Direct
0.0246 0.4428 0.1864
0.0465 0.2554 0.6887
0.1424 0.4508 0.9804
0.1655 0.5506 0.3874
0.2213 0.7568 0.1579
0.3690 0.8816 0.3579
0.4359 0.5730 0.2378
0.5641 0.4270 0.7622
0.6310 0.1184 0.6421
0.7787 0.2432 0.8421
0.8345 0.4494 0.6126
0.8576 0.5492 0.0196
0.9535 0.7446 0.3113
0.9754 0.5572 0.8136
0.1355 0.6790 0.2828
0.2545 0.6388 0.2648
0.7455 0.3612 0.7352
0.8645 0.3210 0.7172
0.0448 0.1548 0.8513
0.0591 0.7423 0.6992
0.1065 0.3981 0.5495
0.1604 0.0234 0.4095
0.1888 0.7957 0.9722
0.2273 0.3004 0.1084
0.2855 0.5282 0.8164
0.3233 0.1528 0.6664
0.3774 0.8037 0.5199
0.4046 0.4321 0.3730
0.4472 0.0496 0.2294
0.4634 0.6744 0.0744
0.5366 0.3256 0.9256
0.5528 0.9504 0.7706
0.5954 0.5679 0.6270
0.6226 0.1963 0.4801
0.6767 0.8472 0.3336
0.7145 0.4718 0.1836
0.7727 0.6996 0.8916
0.8112 0.2043 0.0278
0.8396 0.9766 0.5905
0.8935 0.6019 0.4505
0.9409 0.2577 0.3008
0.9552 0.8452 0.1487
0.0570 0.5471 0.0817
0.9430 0.4529 0.9183